Model A:
## CsHfHgBi2 (PBE-GGA)

Data for CsHfHgBi2 after structural relaxation.

Lattice parameters (Å, degrees): 5.9731 5.4957 5.9731 90.00 90.00 90.00
With the nearest neighbours (Å) after each atom.
Element x y z (fractional)
Cs 0.5000 0.5000 0.5000  8 Bi 4.06, 4 Hf 4.22
Hf 0.0000 0.5000 0.0000  2 Hg 2.75
Bi 0.0000 0.0000 0.5000  2 Hg 2.99
Bi 0.5000 0.0000 0.0000  2 Hg 2.99
Hg 0.0000 0.0000 0.0000  2 Hf 2.75, 4 Bi 2.99

Output
* V: 196 Å³/cell
* magnetization: 0.007 μB per formula unit
* crystal system: tetragonal


Model B:
## CsHfHgBi2 (PBE-GGA)

Data for CsHfHgBi2 after structural relaxation.

Lattice parameters (Å, degrees): 5.7029 5.7029 5.9015 90.00 90.00 90.00
With the nearest neighbours (Å) after each atom.
Element x y z (fractional)
Cs 0.5000 0.5000 0.5000  4 Hg 4.03, 8 Bi 4.10
Hf 0.0000 0.0000 0.0000  4 Bi 2.85, 2 Hg 2.95
Bi 0.0000 0.5000 0.0000  2 Hf 2.85
Bi 0.5000 0.0000 0.0000  2 Hf 2.85
Hg 0.0000 0.0000 0.5000  2 Hf 2.95

Output
* V: 192 Å³/cell
* magnetization: 0.000 μB per formula unit
* crystal system: tetragonal


Quick one: most stable of them? model B


Model A:
## Cs2Hg2Bi (PBE-GGA)

Data for Cs2Hg2Bi after structural relaxation.

Lattice parameters (Å, degrees): 8.5084 8.5084 5.8461 90.00 90.00 90.00
With the nearest neighbours (Å) after each atom.
Element x y z (fractional)
Cs 0.1777 0.6777 0.5000  6 Hg 3.71-3.96
Cs 0.6777 0.8223 0.5000  6 Hg 3.71-3.96
Cs 0.8223 0.3223 0.5000  6 Hg 3.71-3.96
Cs 0.3223 0.1777 0.5000  6 Hg 3.71-3.96
Bi 0.0000 0.0000 0.0000  4 Hg 3.32
Bi 0.5000 0.5000 0.0000  4 Hg 3.32
Hg 0.3669 0.8669 0.0000  1 Hg 3.20, 2 Bi 3.32
Hg 0.8669 0.6331 0.0000  1 Hg 3.20, 2 Bi 3.32
Hg 0.6331 0.1331 0.0000  1 Hg 3.20, 2 Bi 3.32
Hg 0.1331 0.3669 0.0000  1 Hg 3.20, 2 Bi 3.32

Output
* V: 423 Å³/cell
* magnetization: 0.000 μB per formula unit
* crystal system: tetragonal


Model B:
## Cs2Hg2Bi (PBE-GGA)

Data for Cs2Hg2Bi after structural relaxation.

Lattice parameters (Å, degrees): 4.4035 4.4035 12.1729 79.58 79.58 90.00
With the nearest neighbours (Å) after each atom.
Element x y z (fractional)
Cs 0.3939 0.3939 0.2122  4 Bi 3.99, 4 Hg 4.04, 4 Cs 4.40
Cs 0.6061 0.6061 0.7878  4 Bi 3.99, 4 Hg 4.04, 4 Cs 4.40
Bi 0.0000 0.0000 0.0000  8 Cs 3.99, 4 Bi 4.40
Hg 0.7500 0.2500 0.5000  4 Hg 3.11
Hg 0.2500 0.7500 0.5000  4 Hg 3.11

Output
* V: 228 Å³/cell
* magnetization: 0.000 μB per formula unit
* crystal system: tetragonal


Model C:
## Cs2Hg2Bi (PBE-GGA)

Data for Cs2Hg2Bi after structural relaxation.

Lattice parameters (Å, degrees): 5.3151 7.2237 7.2237 59.73 68.41 68.41
With the nearest neighbours (Å) after each atom.
Element x y z (fractional)
Cs 0.8030 0.6970 0.6970  6 Hg 3.89-3.90, 4 Bi 4.24-4.34
Cs 0.1970 0.3030 0.3030  6 Hg 3.89-3.90, 4 Bi 4.24-4.34
Hg 0.5000 0.7427 0.2573  2 Bi 3.24, 1 Hg 3.49
Hg 0.5000 0.2573 0.7427  2 Bi 3.24, 1 Hg 3.49
Bi 0.0000 0.0000 0.0000  4 Hg 3.24

Output
* V: 217 Å³/cell
* magnetization: 0.000 μB per formula unit
* crystal system: orthorhombic


Quick one: most stable of them? model C


Model A:
## Cs2Hg2Bi (PBE-GGA)

Data for Cs2Hg2Bi after structural relaxation.

Lattice parameters (Å, degrees): 10.7487 10.7487 3.9358 90.00 90.00 90.00
With the nearest neighbours (Å) after each atom.
Element x y z (fractional)
Cs 0.8161 0.3161 0.0000  6 Hg 3.71-3.80, 2 Bi 3.93, 2 Cs 3.94
Cs 0.6839 0.8161 0.0000  6 Hg 3.71-3.80, 2 Bi 3.93, 2 Cs 3.94
Cs 0.1839 0.6839 0.0000  6 Hg 3.71-3.80, 2 Bi 3.93, 2 Cs 3.94
Cs 0.3161 0.1839 0.0000  6 Hg 3.71-3.80, 2 Bi 3.93, 2 Cs 3.94
Hg 0.6093 0.1093 0.5000  1 Hg 3.32, 2 Cs 3.71
Hg 0.8907 0.6093 0.5000  1 Hg 3.32, 2 Cs 3.71
Hg 0.3907 0.8907 0.5000  1 Hg 3.32, 2 Cs 3.71
Hg 0.1093 0.3907 0.5000  1 Hg 3.32, 2 Cs 3.71
Bi 0.0000 0.0000 0.0000  4 Cs 3.93, 2 Bi 3.94
Bi 0.5000 0.5000 0.0000  4 Cs 3.93, 2 Bi 3.94

Output
* V: 455 Å³/cell
* magnetization: 0.000 μB per formula unit
* crystal system: tetragonal


Model B:
## Cs2Hg2Bi (PBE-GGA)

Data for Cs2Hg2Bi after structural relaxation.

Lattice parameters (Å, degrees): 7.1921 7.1570 9.9454 101.66 90.00 120.16
With the nearest neighbours (Å) after each atom.
Element x y z (fractional)
Cs 0.5230 0.3005 0.1540  6 Hg 3.82-3.97, 2 Bi 4.20-4.21
Cs 0.2225 0.6995 0.3460  6 Hg 3.82-3.97, 2 Bi 4.20-4.21
Cs 0.4770 0.6995 0.8460  6 Hg 3.82-3.97, 2 Bi 4.20-4.21
Cs 0.7775 0.3005 0.6540  6 Hg 3.82-3.97, 2 Bi 4.20-4.21
Hg 0.7423 0.7384 0.4953  2 Bi 3.23-3.27, 1 Hg 3.46
Hg 0.0040 0.2616 0.0047  2 Bi 3.23-3.27, 1 Hg 3.46
Hg 0.2577 0.2616 0.5047  2 Bi 3.23-3.27, 1 Hg 3.46
Hg 0.9960 0.7384 0.9953  2 Bi 3.23-3.27, 1 Hg 3.46
Bi 0.8629 0.0000 0.2500  4 Hg 3.23-3.27
Bi 0.1371 0.0000 0.7500  4 Hg 3.23-3.27

Output
* V: 430 Å³/cell
* magnetization: 0.000 μB per formula unit
* crystal system: monoclinic


Quick one: most stable of them? model B


Model A:
## CsHg3Bi (PBE-GGA)

Data for CsHg3Bi after structural relaxation.

Lattice parameters (Å, degrees): 5.3686 8.2334 8.5496 109.28 90.00 89.98
With the nearest neighbours (Å) after each atom.
Element x y z (fractional)
Cs 0.4755 0.7809 0.6203  9 Hg 3.75-4.17, 2 Bi 4.00-4.01
Cs 0.9757 0.1208 0.0268  9 Hg 3.75-4.18, 2 Bi 4.01
Hg 0.4757 0.3180 0.7918  3 Hg 3.09-3.39, 1 Bi 3.23
Hg 0.4757 0.8275 0.0855  3 Hg 3.26-3.54, 3 Bi 3.47-3.48
Hg 0.9756 0.4296 0.4736  2 Hg 3.09-3.25, 3 Bi 3.11-3.18
Hg 0.9756 0.5832 0.8554  3 Hg 3.09-3.39, 1 Bi 3.23
Hg 0.9756 0.0743 0.5619  3 Hg 3.25-3.54, 3 Bi 3.47-3.48
Hg 0.4756 0.4719 0.1737  2 Hg 3.09-3.26, 3 Bi 3.11-3.18
Bi 0.9756 0.6733 0.2525  6 Hg 3.11-3.47
Bi 0.4756 0.2282 0.3947  7 Hg 3.11-3.48

Output
* V: 357 Å³/cell
* magnetization: 0.000 μB per formula unit
* crystal system: monoclinic


Model B:
## CsHg3Bi (PBE-GGA)

Data for CsHg3Bi after structural relaxation.

Lattice parameters (Å, degrees): 7.1212 7.1223 7.6671 90.00 90.00 67.10
With the nearest neighbours (Å) after each atom.
Element x y z (fractional)
Cs 0.0414 0.2441 0.0524  13 Hg 4.00-4.34, 4 Bi 4.11-4.12
Cs 0.5192 0.7216 0.5524  13 Hg 4.00-4.34, 4 Bi 4.11-4.12
Hg 0.1734 0.3759 0.5524  1 Bi 3.03, 4 Hg 3.09
Hg 0.3872 0.5897 0.0524  1 Bi 3.03, 4 Hg 3.09
Hg 0.5427 0.2203 0.8024  2 Hg 3.09, 2 Bi 3.14
Hg 0.5427 0.2203 0.3024  2 Hg 3.09, 2 Bi 3.14
Hg 0.0178 0.7453 0.3024  2 Hg 3.09, 2 Bi 3.14
Hg 0.0178 0.7453 0.8024  2 Hg 3.09, 2 Bi 3.14
Bi 0.9178 0.1203 0.5524  5 Hg 3.03-3.14
Bi 0.6428 0.8454 0.0524  5 Hg 3.03-3.14

Output
* V: 358 Å³/cell
* magnetization: 0.000 μB per formula unit
* crystal system: orthorhombic


Quick one: most stable of them? model B


Model A:
## Cs3Hg4Bi2 (PBE-GGA)

Data for Cs3Hg4Bi2 after structural relaxation.

Lattice parameters (Å, degrees): 5.5562 7.1603 11.8268 63.19 76.32 67.13
With the nearest neighbours (Å) after each atom.
Element x y z (fractional)
Cs 0.6158 0.1504 0.6185  6 Hg 3.80-4.00, 2 Bi 4.16-4.22
Cs 0.0000 0.0000 0.0000  8 Hg 3.81-4.24, 2 Bi 4.25
Cs 0.3842 0.8496 0.3815  6 Hg 3.80-4.00, 2 Bi 4.16-4.22
Hg 0.2694 0.3799 0.0817  3 Bi 3.16-3.21, 3 Hg 3.36-3.37
Hg 0.9037 0.5490 0.6444  2 Bi 3.30, 2 Hg 3.36-3.63
Hg 0.0963 0.4510 0.3556  2 Bi 3.30, 2 Hg 3.36-3.63
Hg 0.7306 0.6201 0.9183  3 Bi 3.16-3.21, 3 Hg 3.36-3.37
Bi 0.6963 0.3890 0.2184  5 Hg 3.16-3.30
Bi 0.3037 0.6110 0.7816  5 Hg 3.16-3.30

Output
* V: 386 Å³/cell
* magnetization: 0.000 μB per formula unit
* crystal system: triclinic


Model B:
## Cs3Hg4Bi2 (PBE-GGA)

Data for Cs3Hg4Bi2 after structural relaxation.

Lattice parameters (Å, degrees): 5.3951 5.3951 32.1203 90.00 90.00 120.00
With the nearest neighbours (Å) after each atom.
Element x y z (fractional)
Cs 0.3333 0.6667 0.2528  6 Hg 4.11-4.12, 6 Bi 4.16
Cs 0.3333 0.6667 0.5834  3 Bi 4.08, 9 Hg 4.08-4.10
Cs 0.3333 0.6667 0.9144  9 Hg 4.09-4.10, 3 Bi 4.09
Cs 0.3333 0.6667 0.0807  6 Hg 4.11-4.12, 6 Bi 4.16-4.17
Cs 0.3333 0.6667 0.4189  9 Hg 4.08-4.09, 3 Bi 4.09
Cs 0.3333 0.6667 0.7497  3 Bi 4.08, 9 Hg 4.09-4.10
Hg 0.6667 0.3333 0.5013  3 Bi 3.11
Hg 0.6667 0.3333 0.8320  3 Bi 3.11
Hg 0.6667 0.3333 0.9972  3 Hg 3.11
Hg 0.6667 0.3333 0.3363  3 Hg 3.11
Hg 0.6667 0.3333 0.6665  3 Hg 3.11
Hg 0.0000 0.0000 0.3367  3 Hg 3.11
Hg 0.0000 0.0000 0.6664  3 Hg 3.11
Hg 0.0000 0.0000 0.9968  3 Hg 3.11
Bi 0.0000 0.0000 0.1668  3 Bi 3.11
Bi 0.0000 0.0000 0.5015  3 Hg 3.11
Bi 0.0000 0.0000 0.8317  3 Hg 3.11
Bi 0.6667 0.3333 0.1668  3 Bi 3.11

Output
* V: 810 Å³/cell
* magnetization: 0.000 μB per formula unit
* crystal system: trigonal


Quick one: most stable of them? model A